No. 1
This record from the Alexandria database describes crystalline TiV2Pd at its relaxed geometry. The functional is GGA-PBE. Values from VASP.

The structure in Quantum ESPRESSO input format:
```
&SYSTEM
  ibrav = 0, nat = 4, ntyp = 3
/
ATOMIC_SPECIES
Ti 47.87 Ti.upf
Pd 106.42 Pd.upf
V 50.94 V.upf
CELL_PARAMETERS angstrom
-3.342 -0.508 -2.760
-1.925 -1.680 2.640
-1.369 3.239 1.062
ATOMIC_POSITIONS crystal
Ti 0.500 0.500 0.500
Pd 0.500 0.000 0.000
V 0.000 0.000 0.500
V 0.000 0.500 0.000
```

Properties
- Energy of formation: -42 kJ/mol of formula units

---

No. 2
This record from the Alexandria database describes crystalline Ac4Tl3Au at its relaxed geometry. The functional is GGA-PBE. Values from VASP.

The structure in Quantum ESPRESSO input format:
```
&SYSTEM
  ibrav = 0, nat = 8, ntyp = 3
/
ATOMIC_SPECIES
Ac 227.00 Ac.upf
Au 196.97 Au.upf
Tl 204.38 Tl.upf
CELL_PARAMETERS angstrom
3.932 0.000 0.000
0.000 3.932 0.000
0.000 0.000 17.499
ATOMIC_POSITIONS crystal
Ac 0.000 0.000 0.891
Ac 0.000 0.000 0.109
Ac 0.000 0.000 0.369
Ac 0.000 0.000 0.631
Au 0.500 0.500 0.000
Tl 0.500 0.500 0.240
Tl 0.500 0.500 0.500
Tl 0.500 0.500 0.760
```

Properties
- Energy of formation: -353 kJ/mol of formula units

---

No. 3
This record from the Alexandria database describes crystalline Rb2Sb2Br7 at its relaxed geometry. The functional is GGA-PBE. Values from VASP.

The structure in Quantum ESPRESSO input format:
```
&SYSTEM
  ibrav = 0, nat = 11, ntyp = 3
/
ATOMIC_SPECIES
Rb 85.47 Rb.upf
Sb 121.76 Sb.upf
Br 79.90 Br.upf
CELL_PARAMETERS angstrom
-4.711 0.199 -1.513
-1.110 -5.559 8.660
2.020 10.104 0.977
ATOMIC_POSITIONS crystal
Rb 0.000 0.307 0.693
Rb 0.000 0.693 0.307
Sb 0.194 0.194 0.194
Sb 0.806 0.806 0.806
Br 0.779 0.929 0.616
Br 0.221 0.384 0.071
Br 0.221 0.071 0.384
Br 0.779 0.616 0.929
Br 0.500 0.000 0.000
Br 0.280 0.636 0.636
Br 0.720 0.364 0.364
```

Properties
- Raw total energy: -32.2 eV per cell

---

No. 4
This record from the Alexandria database describes crystalline LiYRh at its relaxed geometry. The functional is GGA-PBE. Values from VASP.

The structure in Quantum ESPRESSO input format:
```
&SYSTEM
  ibrav = 0, nat = 3, ntyp = 3
/
ATOMIC_SPECIES
Li 6.94 Li.upf
Rh 102.91 Rh.upf
Y 88.91 Y.upf
CELL_PARAMETERS angstrom
4.544 0.000 0.000
2.272 3.935 0.000
2.272 1.312 3.710
ATOMIC_POSITIONS crystal
Li 0.500 0.500 0.500
Rh 0.750 0.750 0.750
Y 0.000 0.000 0.000
```

Properties
- Energy of formation: -78 kJ/mol of formula units

---

No. 5
This record from the Alexandria database describes crystalline Dy2HgCl at its relaxed geometry. The functional is GGA-PBE. Values from VASP.

The structure in Quantum ESPRESSO input format:
```
&SYSTEM
  ibrav = 0, nat = 4, ntyp = 3
/
ATOMIC_SPECIES
Cl 35.45 Cl.upf
Hg 200.59 Hg.upf
Dy 162.50 Dy.upf
CELL_PARAMETERS angstrom
3.464 0.000 0.000
1.732 3.000 0.000
1.732 1.000 10.623
ATOMIC_POSITIONS crystal
Cl 0.500 0.500 0.500
Hg 0.000 0.000 0.000
Dy 0.097 0.097 0.710
Dy 0.903 0.903 0.290
```

Properties
- Raw total energy: -13.3 eV per cell

---

No. 6
This record from the Alexandria database describes crystalline Dy5InTe2 at its relaxed geometry. The functional is GGA-PBE. Values from VASP.

The structure in Quantum ESPRESSO input format:
```
&SYSTEM
  ibrav = 0, nat = 16, ntyp = 3
/
ATOMIC_SPECIES
Dy 162.50 Dy.upf
In 114.82 In.upf
Te 127.60 Te.upf
CELL_PARAMETERS angstrom
6.035 0.000 0.000
-3.018 6.169 0.000
0.000 0.000 13.546
ATOMIC_POSITIONS crystal
Dy 0.940 0.880 0.889
Dy 0.940 0.880 0.611
Dy 0.382 0.763 0.446
Dy 0.382 0.763 0.054
Dy 0.621 0.242 0.250
Dy 0.379 0.758 0.750
Dy 0.618 0.237 0.554
Dy 0.618 0.237 0.946
Dy 0.060 0.120 0.111
Dy 0.060 0.120 0.389
In 0.739 0.477 0.750
In 0.261 0.523 0.250
Te 0.812 0.624 0.408
Te 0.812 0.624 0.092
Te 0.188 0.376 0.592
Te 0.188 0.376 0.908
```

Properties
- Raw total energy: -72.2 eV per cell

---

No. 7
This record from the Alexandria database describes crystalline PrEuCuRh at its relaxed geometry. The functional is GGA-PBE. Values from VASP.

The structure in Quantum ESPRESSO input format:
```
&SYSTEM
  ibrav = 0, nat = 4, ntyp = 4
/
ATOMIC_SPECIES
Eu 151.96 Eu.upf
Pr 140.91 Pr.upf
Rh 102.91 Rh.upf
Cu 63.55 Cu.upf
CELL_PARAMETERS angstrom
5.055 0.000 0.000
2.528 4.378 0.000
2.528 1.459 4.128
ATOMIC_POSITIONS crystal
Eu 0.250 0.250 0.250
Pr 0.750 0.750 0.750
Rh 0.000 0.000 0.000
Cu 0.500 0.500 0.500
```

Properties
- Energy of formation: -128 kJ/mol of formula units

---

No. 8
This record from the Alexandria database describes crystalline Mo2OsPt at its relaxed geometry. The functional is GGA-PBE. Values from VASP.

The structure in Quantum ESPRESSO input format:
```
&SYSTEM
  ibrav = 0, nat = 4, ntyp = 3
/
ATOMIC_SPECIES
Mo 95.94 Mo.upf
Os 190.23 Os.upf
Pt 195.08 Pt.upf
CELL_PARAMETERS angstrom
-2.203 -1.169 -1.205
0.664 -3.336 2.020
-3.255 1.862 4.146
ATOMIC_POSITIONS crystal
Mo 0.000 0.000 0.016
Mo 0.000 0.000 0.484
Os 0.500 0.500 0.250
Pt 0.500 0.500 0.750
```

Properties
- Energy of formation: -58 kJ/mol of formula units

---

No. 9
This record from the Alexandria database describes crystalline LiPm3S4 at its relaxed geometry. The functional is GGA-PBE. Values from VASP.

The structure in Quantum ESPRESSO input format:
```
&SYSTEM
  ibrav = 0, nat = 8, ntyp = 3
/
ATOMIC_SPECIES
S 32.06 S.upf
Pm 145.00 Pm.upf
Li 6.94 Li.upf
CELL_PARAMETERS angstrom
-2.914 -4.839 0.293
3.711 -2.446 -3.498
3.120 -1.610 4.435
ATOMIC_POSITIONS crystal
S 0.500 0.000 0.000
S 0.000 0.500 0.000
S 0.000 0.000 0.500
S 0.500 0.500 0.500
Pm 0.000 0.500 0.500
Pm 0.500 0.000 0.500
Pm 0.500 0.500 0.000
Li 0.000 0.000 0.000
```

Properties
- Raw total energy: -48.3 eV per cell

---

No. 10
This record from the Alexandria database describes crystalline TaTe2OsN at its relaxed geometry. The functional is GGA-PBE. Values from VASP.

The structure in Quantum ESPRESSO input format:
```
&SYSTEM
  ibrav = 0, nat = 5, ntyp = 4
/
ATOMIC_SPECIES
N 14.01 N.upf
Te 127.60 Te.upf
Os 190.23 Os.upf
Ta 180.95 Ta.upf
CELL_PARAMETERS angstrom
-4.348 2.717 1.823
-3.192 -4.187 -1.375
0.497 -1.504 3.426
ATOMIC_POSITIONS crystal
N 0.000 0.000 0.500
Te 0.000 0.500 0.000
Te 0.500 0.000 0.000
Os 0.500 0.500 0.500
Ta 0.000 0.000 0.000
```

Properties
- Raw total energy: -32.4 eV per cell

---

No. 11
This record from the Alexandria database describes crystalline CeNdTh2Sb5 at its relaxed geometry. The functional is GGA-PBE. Values from VASP.

The structure in Quantum ESPRESSO input format:
```
&SYSTEM
  ibrav = 0, nat = 9, ntyp = 4
/
ATOMIC_SPECIES
Ce 140.12 Ce.upf
Nd 144.24 Nd.upf
Th 232.04 Th.upf
Sb 121.76 Sb.upf
CELL_PARAMETERS angstrom
-2.065 2.693 -4.198
-4.434 1.089 2.879
4.934 9.833 3.880
ATOMIC_POSITIONS crystal
Ce 0.000 0.000 0.000
Nd 0.000 0.000 0.500
Th 0.500 0.500 0.313
Th 0.500 0.500 0.687
Sb 0.000 0.500 0.500
Sb 0.500 0.000 0.500
Sb 0.000 0.000 0.752
Sb 0.000 0.000 0.248
Sb 0.500 0.500 0.000
```

Properties
- Raw total energy: -46.7 eV per cell

---

No. 12
This record from the Alexandria database describes crystalline Ac5La3Se8 at its relaxed geometry. The functional is GGA-PBE. Values from VASP.

The structure in Quantum ESPRESSO input format:
```
&SYSTEM
  ibrav = 0, nat = 16, ntyp = 3
/
ATOMIC_SPECIES
Ac 227.00 Ac.upf
La 138.91 La.upf
Se 78.96 Se.upf
CELL_PARAMETERS angstrom
-4.025 7.519 -2.242
-7.955 1.897 3.301
-0.882 6.469 5.936
ATOMIC_POSITIONS crystal
Ac 0.500 0.000 0.000
Ac 0.500 0.500 0.000
Ac 0.000 0.000 0.000
Ac 0.000 0.500 0.000
Ac 0.500 0.500 0.500
La 0.500 0.000 0.500
La 0.000 0.000 0.500
La 0.000 0.500 0.500
Se 0.250 0.250 0.743
Se 0.250 0.757 0.743
Se 0.757 0.250 0.743
Se 0.753 0.753 0.740
Se 0.750 0.750 0.257
Se 0.750 0.243 0.257
Se 0.243 0.750 0.257
Se 0.247 0.247 0.260
```

Properties
- Raw total energy: -93.8 eV per cell